A plane-wave DFT calculation with GGA-PBE was carried out for crystalline CoTcIr2 at its relaxed geometry.

**Formation enthalpy at 0 K**: 0.31 eV/atom
**Total magnetization**: 2.00 μB per formula unit
**Fermi-level density of states**: 7.3 states/eV/cell

Cell and atoms, written as POSCAR:
```
CoTcIr2
1.0
2.7315 0.0000 0.0000
0.0000 4.5092 0.0000
0.0000 0.0000 4.5818
Co Tc Ir
1 1 2
direct
0.0000 0.0000 0.0000
0.5000 0.0000 0.5000
0.0000 0.5000 0.5000
0.5000 0.5000 0.0000
```

***

A plane-wave DFT calculation with GGA-PBE was carried out for crystalline Tb3Zr2Pb3 at its relaxed geometry.

**Formation enthalpy at 0 K**: -0.44 eV/atom
**Total magnetization**: 0.00 μB per formula unit
**Fermi-level density of states**: 14.3 states/eV/cell

Cell and atoms, written as POSCAR:
```
Tb3Zr2Pb3
1.0
8.9789 0.0000 0.0000
-4.4894 7.7760 0.0000
0.0000 0.0000 6.1890
Tb Zr Pb
6 4 6
direct
0.0000 0.2402 0.2500
0.0000 0.7598 0.7500
0.2402 0.0000 0.2500
0.2402 0.2402 0.7500
0.7598 0.0000 0.7500
0.7598 0.7598 0.2500
0.3333 0.6667 0.0000
0.3333 0.6667 0.5000
0.6667 0.3333 0.0000
0.6667 0.3333 0.5000
0.0000 0.3986 0.7500
0.0000 0.6014 0.2500
0.3986 0.0000 0.7500
0.3986 0.3986 0.2500
0.6014 0.0000 0.2500
0.6014 0.6014 0.7500
```

***

A plane-wave DFT calculation with GGA-PBE was carried out for crystalline RbOsRh3 at its relaxed geometry.

**Formation enthalpy at 0 K**: 2.97 eV/atom
**Total magnetization**: 4.66 μB per formula unit
**Fermi-level density of states**: 6.7 states/eV/cell

Cell and atoms, written as POSCAR:
```
RbOsRh3
1.0
4.7208 0.0000 0.0000
0.0000 4.7208 0.0000
0.0000 0.0000 4.7208
Rb Os Rh
1 1 3
direct
0.0000 0.0000 0.0000
0.5000 0.5000 0.5000
0.0000 0.0000 0.5000
0.0000 0.5000 0.0000
0.5000 0.0000 0.0000
```

***

A plane-wave DFT calculation with GGA-PBE was carried out for crystalline SrCoW2 at its relaxed geometry.

**Formation enthalpy at 0 K**: 1.23 eV/atom
**Total magnetization**: 0.68 μB per formula unit
**Fermi-level density of states**: 5.4 states/eV/cell

Cell and atoms, written as POSCAR:
```
SrCoW2
1.0
3.8125 0.0000 0.0000
0.0000 3.8125 0.0000
0.0000 0.0000 5.1235
Sr Co W
1 1 2
direct
0.0000 0.0000 0.0000
0.5000 0.5000 0.0000
0.0000 0.5000 0.5000
0.5000 0.0000 0.5000
```